(1)
This record from Alexandria via LeMat-Bulk describes an optimized crystal structure of Li2VNiO4. The functional is PBE with a Hubbard U.

a = 5.1582 Å, b = 5.8854 Å, c = 7.8019 Å
α = 100.68°, β = 109.12°, γ = 89.86°
Closest atoms and distances in Å follow each position.
Atoms (fractional coordinates):
Ni (0.6669, 0.1694, 0.6676)  6 O 2.06-2.12
Ni (0.0000, 0.0000, 0.0000)  6 O 2.07-2.10
Ni (0.3331, 0.8306, 0.3324)  6 O 2.06-2.12
V (0.6663, 0.6780, 0.6643)  6 O 1.88-2.04
V (0.3337, 0.3220, 0.3357)  6 O 1.88-2.04
V (0.0000, 0.5000, 0.0000)  6 O 1.91-2.02
Li (0.8359, 0.5806, 0.3325)  6 O 2.08-2.21
Li (0.1641, 0.4194, 0.6675)  6 O 2.08-2.21
Li (0.5007, 0.2376, 0.9994)  6 O 2.07-2.29
Li (0.4993, 0.7624, 0.0006)  6 O 2.07-2.29
Li (0.8278, 0.0786, 0.3290)  6 O 2.08-2.24
Li (0.1722, 0.9214, 0.6710)  6 O 2.08-2.24
O (0.0724, 0.2343, 0.8454)  1 V 1.91, 1 Li 2.08, 2 Ni 2.09-2.10
O (0.0624, 0.7018, 0.8335)  2 V 2.01-2.03, 1 Ni 2.07, 3 Li 2.09-2.19
O (0.2753, 0.6152, 0.5022)  2 V 1.99-2.04, 1 Ni 2.08, 3 Li 2.09-2.21
O (0.9276, 0.7657, 0.1546)  1 V 1.91, 1 Li 2.08, 2 Ni 2.09-2.10
O (0.7467, 0.8615, 0.5131)  1 V 1.88, 1 Ni 2.10
O (0.3932, 0.5229, 0.1724)  2 V 1.98-2.02, 1 Ni 2.08, 2 Li 2.14-2.21
O (0.2533, 0.1385, 0.4869)  1 V 1.88, 1 Ni 2.10
O (0.4104, 0.0493, 0.1749)  1 V 1.97, 2 Ni 2.06-2.10, 3 Li 2.07-2.11
O (0.6068, 0.4771, 0.8276)  2 V 1.98-2.02, 1 Ni 2.08, 2 Li 2.14-2.21
O (0.7247, 0.3848, 0.4978)  2 V 1.99-2.04, 1 Ni 2.08, 3 Li 2.09-2.21
O (0.5896, 0.9507, 0.8251)  1 V 1.97, 2 Ni 2.06-2.10, 3 Li 2.07-2.11
O (0.9376, 0.2982, 0.1665)  2 V 2.01-2.03, 1 Ni 2.07, 3 Li 2.09-2.19

As for the calculated total energy: -6.05 eV per atom. The calculation puts the distance to the lowest polymorph of the same formula at 0.018 eV per formula unit.

=====

(2)
This record from Alexandria via LeMat-Bulk describes an optimized crystal structure of Li3V2NiO6. The functional is PBE with a Hubbard U.

a = 6.5579 Å, b = 6.5579 Å, c = 5.9859 Å
α = 76.03°, β = 76.03°, γ = 26.40°
Closest atoms and distances in Å follow each position.
Atoms (fractional coordinates):
V (0.3352, 0.3352, 0.8297)  6 O 1.92-2.06
V (0.6648, 0.6648, 0.1703)  6 O 1.92-2.06
O (0.8314, 0.8314, 0.6036)  2 V 2.03, 1 Ni 2.09, 3 Li 2.09-2.16
O (0.5099, 0.5099, 0.2507)  1 V 1.92, 2 Ni 2.10, 3 Li 2.14-2.15
O (0.4901, 0.4901, 0.7493)  1 V 1.92, 2 Ni 2.10, 3 Li 2.14-2.15
O (0.1686, 0.1686, 0.3964)  2 V 2.03, 1 Ni 2.09, 3 Li 2.09-2.16
O (0.8282, 0.8282, 0.0682)  3 V 2.02-2.06, 3 Li 2.13-2.24
O (0.1718, 0.1718, 0.9318)  3 V 2.02-2.06, 3 Li 2.13-2.24
Li (0.0000, 0.0000, 0.0000)  6 O 2.13-2.15
Li (0.3369, 0.3369, 0.3406)  6 O 2.09-2.24
Li (0.6631, 0.6631, 0.6594)  6 O 2.09-2.24
Ni (0.0000, 0.0000, 0.5000)  6 O 2.09-2.10

As for the calculated total energy: -6.32 eV per atom. The density of states at the Fermi level is 3.48 states/eV per cell.

=====

(3)
This record from Alexandria via LeMat-Bulk describes an optimized crystal structure of Li2V3NiO8. The functional is PBE with a Hubbard U.

a = 5.8845 Å, b = 5.8845 Å, c = 9.7189 Å
α = 90.00°, β = 90.00°, γ = 120.00°
Closest atoms and distances in Å follow each position.
Atoms (fractional coordinates):
O (0.3333, 0.6667, 0.1004)  1 Li 2.00, 3 V 2.00
O (0.8559, 0.1750, 0.1076)  1 Li 1.96, 2 V 1.96-1.98, 1 Ni 2.10
O (0.0363, 0.5328, 0.3316)  1 V 1.83, 1 Li 1.98
O (0.1750, 0.8559, 0.6076)  1 Li 1.96, 2 V 1.96-1.98, 1 Ni 2.10
O (0.0000, 0.0000, 0.8118)  1 Li 1.79, 3 V 1.98
O (0.5328, 0.0363, 0.8316)  1 V 1.83, 1 Li 1.98
O (0.4672, 0.5035, 0.3316)  1 V 1.83, 1 Li 1.98
O (0.5035, 0.4672, 0.8316)  1 V 1.83, 1 Li 1.98
O (0.1441, 0.3192, 0.6076)  1 Li 1.96, 2 V 1.96-1.98, 1 Ni 2.10
O (0.3192, 0.1441, 0.1076)  1 Li 1.96, 2 V 1.96-1.98, 1 Ni 2.10
O (0.8250, 0.6808, 0.1076)  1 Li 1.96, 2 V 1.96-1.98, 1 Ni 2.10
O (0.6808, 0.8250, 0.6076)  1 Li 1.96, 2 V 1.96-1.98, 1 Ni 2.10
O (0.4966, 0.9637, 0.3316)  1 V 1.83, 1 Li 1.98
O (0.9637, 0.4966, 0.8316)  1 V 1.83, 1 Li 1.98
O (0.6667, 0.3334, 0.6004)  1 Li 2.00, 3 V 2.00
O (0.0000, 0.0000, 0.3118)  1 Li 1.79, 3 V 1.98
V (0.1879, 0.3390, 0.2136)  5 O 1.83-2.00
V (0.8490, 0.6610, 0.7136)  5 O 1.83-2.00
V (0.3390, 0.1879, 0.7136)  5 O 1.83-2.00
V (0.8121, 0.1511, 0.7136)  5 O 1.83-2.00
V (0.6610, 0.8490, 0.2136)  5 O 1.83-2.00
V (0.1510, 0.8121, 0.2136)  5 O 1.83-2.00
Li (0.3333, 0.6667, 0.8949)  4 O 1.98-2.00
Li (0.0000, 0.0000, 0.9962)  4 O 1.79-1.96
Li (0.0000, 0.0000, 0.4962)  4 O 1.79-1.96
Li (0.6667, 0.3333, 0.3949)  4 O 1.98-2.00
Ni (0.3333, 0.6667, 0.4921)  6 O 2.10-2.18
Ni (0.6667, 0.3333, 0.9921)  6 O 2.10-2.18

As for the calculated total energy: -6.80 eV per atom. The calculation puts the distance to the lowest polymorph of the same formula at 0.000 eV per formula unit. The density of states at the Fermi level is 0.00 states/eV per cell.

=====

(4)
This record from Alexandria via LeMat-Bulk describes an optimized crystal structure of Li7V6Ni5O24. The functional is PBE with a Hubbard U.

a = 5.8472 Å, b = 5.9061 Å, c = 13.0641 Å
α = 102.53°, β = 102.74°, γ = 89.77°
Closest atoms and distances in Å follow each position.
Atoms (fractional coordinates):
O (0.4188, 0.4056, 0.8336)  1 V 1.74
O (0.2587, 0.2590, 0.5039)  1 V 1.74
O (0.5812, 0.5944, 0.1664)  1 V 1.74
O (0.0790, 0.0623, 0.1592)  1 V 1.69
O (0.9130, 0.4226, 0.3370)  1 V 1.75
O (0.2539, 0.2507, 0.9989)  1 V 1.80
O (0.9210, 0.9377, 0.8408)  1 V 1.69
O (0.9065, 0.9079, 0.3287)  1 V 1.75
O (0.7413, 0.7410, 0.4961)  1 V 1.74
O (0.0935, 0.0921, 0.6713)  1 V 1.75
O (0.4230, 0.4227, 0.3358)  1 V 1.74
O (0.7459, 0.2519, 0.5010)  1 V 1.80
O (0.5843, 0.0884, 0.6657)  1 V 1.80
O (0.0870, 0.5774, 0.6630)  1 V 1.75
O (0.0829, 0.5916, 0.1660)  1 V 1.74
O (0.2549, 0.7494, 0.0007)  1 V 1.80
O (0.7451, 0.2506, 0.9993)  1 V 1.80
O (0.4157, 0.9116, 0.3343)  1 V 1.80
O (0.4185, 0.9278, 0.8336)  1 V 1.75
O (0.7461, 0.7493, 0.0011)  1 V 1.80
O (0.2541, 0.7481, 0.4990)  1 V 1.80
O (0.5815, 0.0722, 0.1664)  1 V 1.75
O (0.5770, 0.5773, 0.6642)  1 V 1.74
O (0.9171, 0.4084, 0.8340)  1 V 1.74
V (0.0408, 0.7886, 0.0826)  4 O 1.69-1.80
V (0.9592, 0.2114, 0.9174)  4 O 1.69-1.80
V (0.3782, 0.1288, 0.7512)  4 O 1.74-1.80
V (0.2943, 0.5397, 0.5828)  4 O 1.74-1.80
V (0.7057, 0.4603, 0.4172)  4 O 1.74-1.80
V (0.6218, 0.8712, 0.2488)  4 O 1.74-1.80
Ni (0.5000, 0.0000, 0.5000)  6 O 2.06-2.08
Ni (0.5000, 0.5000, 0.0000)  6 O 2.05-2.07
Ni (0.8387, 0.3359, 0.6681)  6 O 2.06-2.09
Ni (0.1613, 0.6641, 0.3319)  6 O 2.06-2.09
Ni (0.5000, 0.0000, 0.0000)  6 O 2.06-2.07
Li (0.8323, 0.3280, 0.1691)  6 O 2.09-2.15
Li (0.1677, 0.6720, 0.8309)  6 O 2.09-2.15
Li (0.1581, 0.1640, 0.3314)  6 O 2.09-2.16
Li (0.6668, 0.6725, 0.8316)  6 O 2.08-2.15
Li (0.8419, 0.8360, 0.6686)  6 O 2.09-2.16
Li (0.3332, 0.3275, 0.1684)  6 O 2.08-2.15
Li (0.0000, 0.0000, 0.5000)  6 O 2.10-2.14

As for the calculated total energy: -6.30 eV per atom. The density of states at the Fermi level is 11.08 states/eV per cell.

=====

(5)
This record from Alexandria via LeMat-Bulk describes an optimized crystal structure of Li2V3NiO8. The functional is PBE with a Hubbard U.

a = 6.3771 Å, b = 6.3771 Å, c = 6.4671 Å
α = 74.56°, β = 74.56°, γ = 36.70°
Closest atoms and distances in Å follow each position.
Atoms (fractional coordinates):
V (0.3898, 0.3898, 0.7256)  1 O 1.67
V (0.7109, 0.7109, 0.7106)  1 O 1.73
V (0.6063, 0.6063, 0.2983)  5 O 1.82-2.01
O (0.7585, 0.7585, 0.3598)  2 V 1.99-2.18, 2 Ni 2.05, 1 Li 2.13
O (0.4506, 0.4506, 0.3519)  1 V 1.82, 2 Li 2.02
O (0.6549, 0.6549, 0.9880)  2 V 1.73-1.93
O (0.3572, 0.3572, 0.9940)  1 V 1.67
O (0.8798, 0.8798, 0.6723)  3 V 1.99-2.05, 2 Li 2.08-2.14
O (0.1124, 0.1124, 0.3159)  2 Li 1.99-2.09, 2 V 2.01, 1 Ni 2.09
O (0.2348, 0.2348, 0.6613)  3 V 2.03-2.04, 1 Li 2.15, 1 Ni 2.19
O (0.5606, 0.5606, 0.6393)  3 V 1.98-2.12, 2 Li 2.01
Ni (0.2858, 0.2858, 0.3088)  6 O 1.98-2.19
Li (0.0611, 0.0611, 0.6367)  5 O 1.99-2.15
Li (0.9373, 0.9373, 0.3375)  5 O 2.02-2.13

As for the calculated total energy: -6.76 eV per atom. The calculation puts the distance to the lowest polymorph of the same formula at 0.590 eV per formula unit.

=====

(6)
This record from Alexandria via LeMat-Bulk describes an optimized crystal structure of Li3V4NiO12. The functional is PBE with a Hubbard U.

a = 6.8024 Å, b = 6.8024 Å, c = 5.8362 Å
α = 73.09°, β = 73.09°, γ = 78.97°
Closest atoms and distances in Å follow each position.
Atoms (fractional coordinates):
O (0.7890, 0.9941, 0.9203)  1 V 1.74
O (0.6908, 0.6061, 0.8353)  2 V 1.81-1.87
O (0.0059, 0.2110, 0.0797)  1 V 1.74
O (0.3222, 0.3856, 0.6609)  2 V 1.81-1.85
O (0.3653, 0.9038, 0.0409)  1 V 1.70
O (0.9254, 0.3818, 0.5070)  1 V 1.67
O (0.2077, 0.0071, 0.6079)  1 V 1.73
O (0.0962, 0.6347, 0.9591)  1 V 1.70
O (0.6182, 0.0746, 0.4930)  1 V 1.67
O (0.9929, 0.7923, 0.3921)  1 V 1.73
O (0.6144, 0.6778, 0.3391)  2 V 1.81-1.85
O (0.3939, 0.3092, 0.1647)  2 V 1.81-1.87
Ni (0.0771, 0.9229, 0.0000)  6 O 2.02-2.15
V (0.8094, 0.6207, 0.5117)  4 O 1.67-1.81
V (0.3793, 0.1906, 0.4883)  4 O 1.67-1.81
V (0.1904, 0.3818, 0.9870)  4 O 1.70-1.87
V (0.6182, 0.8096, 0.0130)  4 O 1.70-1.87
Li (0.2672, 0.7328, 0.5000)  4 O 2.07-2.28
Li (0.7239, 0.2761, 0.0000)  4 O 2.04-2.17
Li (0.9129, 0.0871, 0.5000)  4 O 2.04-2.20

As for the calculated total energy: -6.74 eV per atom. The density of states at the Fermi level is 6.63 states/eV per cell.

=====

(7)
This record from Alexandria via LeMat-Bulk describes an optimized crystal structure of LiV2NiO6. The functional is PBE with a Hubbard U.

a = 5.6155 Å, b = 6.9175 Å, c = 6.9174 Å
α = 102.49°, β = 72.04°, γ = 107.96°
Closest atoms and distances in Å follow each position.
Atoms (fractional coordinates):
O (0.1897, 0.6088, 0.9666)  1 V 1.75
O (0.9339, 0.6941, 0.4081)  1 V 1.76
O (0.8531, 0.7985, 0.9907)  1 V 1.83, 1 Li 2.03, 1 Ni 2.05
O (0.6870, 0.3517, 0.1078)  1 V 1.70
O (0.5662, 0.4081, 0.6942)  1 V 1.76
O (0.8132, 0.1080, 0.3517)  1 V 1.70
O (0.3485, 0.9826, 0.1965)  1 V 1.74
O (0.3104, 0.9667, 0.6088)  1 V 1.75
O (0.6470, 0.9907, 0.7985)  1 V 1.83, 1 Li 2.03, 1 Ni 2.05
O (0.0547, 0.3151, 0.6376)  1 V 1.73
O (0.4454, 0.6376, 0.3150)  1 V 1.73
O (0.1516, 0.1965, 0.9826)  1 V 1.74
Ni (0.7500, 0.0702, 0.0702)  6 O 2.03-2.09
Ni (0.2500, 0.9138, 0.9138)  6 O 2.06-2.12
V (0.8008, 0.6107, 0.1600)  2 O 1.70-1.83
V (0.2346, 0.3779, 0.8165)  4 O 1.73-1.76
V (0.6992, 0.1600, 0.6107)  2 O 1.70-1.83
V (0.2655, 0.8165, 0.3779)  4 O 1.73-1.76
Li (0.2493, 0.2705, 0.2710)  4 O 2.15-2.31
Li (0.7500, 0.7219, 0.7219)  4 O 2.03-2.09

As for the calculated total energy: -6.71 eV per atom. The calculation puts the distance to the lowest polymorph of the same formula at 0.000 eV per formula unit. The density of states at the Fermi level is 0.00 states/eV per cell.

=====

(8)
This record from Alexandria via LeMat-Bulk describes an optimized crystal structure of Li4Ni3WO8. The functional is PBE with a Hubbard U.

a = 10.3128 Å, b = 10.3127 Å, c = 14.5667 Å
α = 19.67°, β = 19.67°, γ = 33.89°
Closest atoms and distances in Å follow each position.
Atoms (fractional coordinates):
O (0.4620, 0.4620, 0.3057)  1 W 1.97, 2 Li 2.11, 2 Ni 2.13
O (0.0000, 0.4620, 0.7703)  1 W 1.97, 2 Li 2.11, 2 Ni 2.13
O (0.0000, 0.5380, 0.2297)  1 W 1.97, 2 Li 2.11, 2 Ni 2.13
O (0.5380, 0.0000, 0.2297)  1 W 1.97, 2 Li 2.11, 2 Ni 2.13
O (0.4620, 0.0000, 0.7703)  1 W 1.97, 2 Li 2.11, 2 Ni 2.13
O (0.0000, 0.0000, 0.7395)  3 Ni 2.03, 3 Li 2.21
O (0.5380, 0.5380, 0.6943)  1 W 1.97, 2 Li 2.11, 2 Ni 2.13
O (0.0000, 0.0000, 0.2605)  3 Ni 2.03, 3 Li 2.21
Ni (0.5000, 0.0000, 0.0000)  6 O 2.03-2.13
Ni (0.5000, 0.5000, 0.0000)  6 O 2.03-2.13
Ni (0.0000, 0.5000, 0.0000)  6 O 2.03-2.13
Li (0.0000, 0.5000, 0.5000)  6 O 2.11-2.21
Li (0.5000, 0.0000, 0.5000)  6 O 2.11-2.21
Li (0.0000, 0.0000, 0.5000)  6 O 2.27
Li (0.5000, 0.5000, 0.5000)  6 O 2.11-2.21
W (0.0000, 0.0000, 0.0000)  6 O 1.97

As for the calculated total energy: -5.57 eV per atom. The density of states at the Fermi level is 0.00 states/eV per cell.

=====

no.,total moment (μB per cell)
1,9.000
2,5.000
3,10.000
4,8.991
5,5.000
6,3.000
7,6.000
8,6.000